# 1
First-principles (PBE) data for Er2CdSb after structural relaxation, as listed in Alexandria via LeMat-Bulk.

a b c (Å): 3.8979 3.8979 6.8200
angles (deg): 90.00 90.00 90.00
Last column: nearest neighbours and their distance in Å.
Sites, in units of the cell vectors:
Er1 0.0000 0.0000 0.7556  4 Sb 3.22, 4 Cd 3.26, 2 Er 3.33-3.49
Cd1 0.5000 0.5000 0.5000  8 Er 3.26, 2 Sb 3.41
Er2 0.0000 0.0000 0.2444  4 Sb 3.22, 4 Cd 3.26, 2 Er 3.33-3.49
Sb1 0.5000 0.5000 0.0000  8 Er 3.22, 2 Cd 3.41

The crystal system is tetragonal. For the energy above the lowest structure with this stoichiometry, the calculation gives 0.000 eV/atom. The calculation puts the density of states at the Fermi level at 3.3 states/eV/f.u.

***

# 2
First-principles (PBE) data for SrCeTa2O8 after structural relaxation, as listed in Alexandria via LeMat-Bulk.

a b c (Å): 5.3724 5.3724 6.8590
angles (deg): 113.06 113.06 90.00
Last column: nearest neighbours and their distance in Å.
Sites, in units of the cell vectors:
O1 0.0983 0.0008 0.6864  1 Ta 1.89
Sr1 0.7500 0.2500 0.5000  8 O 2.53-2.55
O2 0.4015 0.3410 0.1672  1 Ta 1.89
O3 0.9992 0.4119 0.3136  1 Ta 1.89
Ta1 0.5000 0.5000 0.0000  4 O 1.89
O4 0.5881 0.6856 0.6864  1 Ta 1.89
Ta2 0.2500 0.7500 0.5000  4 O 1.89
O5 0.3144 0.9017 0.3136  1 Ta 1.89
Ce1 0.0000 0.0000 0.0000  8 O 2.40-2.41
O6 0.6590 0.2343 0.8328  1 Ta 1.89
O7 0.1737 0.5985 0.8328  1 Ta 1.89
O8 0.7657 0.8263 0.1672  1 Ta 1.89

The crystal system is tetragonal. The value obtained for the uncorrected energy is -107.53 eV for the cell shown.

***

# 3
First-principles (PBE) data for CdSeS after structural relaxation, as listed in Alexandria via LeMat-Bulk.

a b c (Å): 4.4302 4.2525 11.3042
angles (deg): 68.36 93.58 61.74
Last column: nearest neighbours and their distance in Å.
Sites, in units of the cell vectors:
S1 0.0812 0.0736 0.1174  1 S 1.99
Se1 0.4363 0.6753 0.8352  4 Cd 2.61-2.79
Cd1 0.2353 0.0384 0.5758  4 Se 2.61-2.72
S2 0.5535 0.6997 0.2564  1 S 1.99
Se2 0.5083 0.5011 0.4763  1 S 2.37
Cd2 0.8865 0.8436 0.9440  3 Se 2.71-2.79, 2 S 2.75-2.77

The crystal system is triclinic. The value obtained for the uncorrected energy is -18.57 eV for the cell shown. The calculation puts the density of states at the Fermi level at 0.4 states/eV/f.u.

***

no.,M_tot (μB per formula unit)
1,0.45
2,0.00
3,0.00